A plane-wave DFT calculation with PBE was carried out for an optimized crystal structure of Tm3Sb2Se.

Results
**Density**: 8.53 g cm⁻³
**N(E_F)**: 0.230 states/eV/atom
**Energy relative to the elements, uncorrected**: -1281 meV/atom
**Space group**: Fddd
**ΔE to the lowest computed polymorph**: 0 meV per atom
**DFT total energy**: -32.83 eV/f.u.

```
Tm3Sb2Se
1.0
7.219 0.025 -1.334
-2.769 6.667 -1.334
-0.006 -0.008 13.405
Sb Tm Se
8 12 4
direct
0.418 0.418 0.835 Sb
0.668 0.168 0.335 Sb
0.999 0.499 0.999 Sb
0.251 0.251 0.501 Sb
0.832 0.332 0.665 Sb
0.501 0.001 0.001 Sb
0.749 0.749 0.499 Sb
0.582 0.582 0.165 Sb
0.241 0.241 0.000 Tm
0.084 0.079 0.670 Tm
0.759 0.759 0.000 Tm
0.586 0.591 0.670 Tm
0.491 0.991 0.500 Tm
0.664 0.159 0.830 Tm
0.329 0.834 0.170 Tm
0.841 0.336 0.170 Tm
0.166 0.671 0.830 Tm
0.009 0.509 0.500 Tm
0.409 0.414 0.330 Tm
0.921 0.916 0.330 Tm
0.167 0.667 0.333 Se
0.333 0.833 0.667 Se
0.917 0.917 0.833 Se
0.083 0.083 0.167 Se
```